# 1
Computed, not measured: an optimized crystal structure of LiSb2Br at the PBE level of DFT.

```
4
Lattice="-3.1562 -2.7328 6.1521 -1.2724 -0.4457 -7.3117 1.9275 -2.6215 -0.1756" Properties=species:S:1:pos:R:3 pbc="T T T"
Br -0.6144 -2.6772 2.9882
Sb -2.2143 -1.5892 -0.5798
Sb 0.0000 0.0000 0.0000
Li 0.3276 -1.5336 -3.7437
```

ΔE to the lowest computed polymorph: 0.627 eV/atom
Total DFT energy (no corrections): -3.020 eV per atom
Space group: Cmmm
E_form (uncorrected): -0.0617 eV per atom

=====

# 2
Computed, not measured: an optimized crystal structure of LiNdAgSn2 at the PBE level of DFT.

```
5
Lattice="-1.3774 1.6235 3.8769 2.9424 -2.5409 2.1094 3.3518 4.9160 -3.3909" Properties=species:S:1:pos:R:3 pbc="T T T"
Sn 1.7327 0.5658 2.9017
Ag 3.5383 0.9582 0.8558
Nd 0.0000 0.0000 0.0000
Sn 3.1841 3.4329 -0.3064
Li 1.3785 3.0404 1.7395
```

Energy relative to the elements: -0.49 eV/atom
Total DFT energy (no corrections): -3.993 eV per atom
Space group: I-4m2

=====

# 3
Computed, not measured: an optimized crystal structure of YCu3Rh4O12 at the PBE level of DFT.

```
20
Lattice="-3.1954 -5.6472 -0.4638 6.2972 -0.9568 -1.3218 -0.6162 2.3509 6.0341" Properties=species:S:1:pos:R:3 pbc="T T T"
Rh -0.3081 1.1754 3.0171
O 0.2648 -3.6021 3.1142
O 4.4676 -0.0997 2.9980
O 0.3186 -2.5313 0.3648
O 2.2207 -0.6510 1.1343
O 0.9403 0.8901 4.5899
Rh 1.2428 -2.1266 2.1242
Y 0.0000 0.0000 0.0000
Rh 3.1486 -0.4784 -0.6609
O 1.5453 -5.1432 -0.3414
O -0.2295 -0.7699 2.4488
O -1.9820 -4.1535 1.2504
Cu 1.5509 -3.3020 -0.8928
Cu -1.9058 -1.6482 2.7852
Cu 2.8405 0.6971 2.3561
O 2.7151 -3.4832 1.7997
O 4.2226 -2.1795 -0.4034
Rh -1.5977 -2.8236 -0.2319
O -1.7370 -2.0737 4.6519
O 2.1670 -1.7218 3.8836
```

Total DFT energy (no corrections): -6.398 eV per atom
Space group: Im-3
E_form (uncorrected): -1.0148 eV per atom

=====

- Which of these has the lowest total DFT energy (no corrections)?
  YCu3Rh4O12